Record 1
Computed, not measured: crystalline LaI2NO at its relaxed geometry at the PBE level of DFT. Values from VASP.

Values from the calculation:
uncorrected formation energy = 216 meV/atom
polymorph energy (0 for the lowest one) = 465 meV per atom

```
&SYSTEM
  ibrav = 0, nat = 5, ntyp = 4
/
ATOMIC_SPECIES
I 126.90 I.upf
N 14.01 N.upf
O 16.00 O.upf
La 138.91 La.upf
CELL_PARAMETERS angstrom
4.6777 0.0000 0.0000
0.0000 4.6777 0.0000
0.0000 0.0000 4.8627
ATOMIC_POSITIONS crystal
I 0.0000 0.5000 0.0000
I 0.5000 0.0000 0.0000
N 0.0000 0.0000 0.0000
O 0.0000 0.0000 0.5000
La 0.5000 0.5000 0.5000
```



Record 2
Computed, not measured: crystalline LaI2NO at its relaxed geometry at the PBE level of DFT. Values from VASP.

Values from the calculation:
uncorrected formation energy = 390 meV/atom
polymorph energy (0 for the lowest one) = 640 meV per atom

```
&SYSTEM
  ibrav = 0, nat = 5, ntyp = 4
/
ATOMIC_SPECIES
I 126.90 I.upf
N 14.01 N.upf
O 16.00 O.upf
La 138.91 La.upf
CELL_PARAMETERS angstrom
4.7255 0.0000 0.0000
0.0000 4.7255 0.0000
0.0000 0.0000 4.9461
ATOMIC_POSITIONS crystal
I 0.0000 0.5000 0.0000
I 0.5000 0.0000 0.0000
N 0.0000 0.0000 0.5000
O 0.0000 0.0000 0.0000
La 0.5000 0.5000 0.5000
```



Record 3
Computed, not measured: crystalline La2INO at its relaxed geometry at the PBE level of DFT. Values from VASP.

Values from the calculation:
uncorrected formation energy = -2246 meV/atom

```
&SYSTEM
  ibrav = 0, nat = 10, ntyp = 4
/
ATOMIC_SPECIES
La 138.91 La.upf
I 126.90 I.upf
N 14.01 N.upf
O 16.00 O.upf
CELL_PARAMETERS angstrom
4.1090 0.0000 0.0000
2.0545 6.7292 0.2013
2.0545 1.3880 8.9783
ATOMIC_POSITIONS crystal
La 0.4748 0.7704 0.2800
La 0.5252 0.2296 0.7200
La 0.8474 0.2544 0.0508
La 0.1526 0.7456 0.9492
I 0.8303 0.7142 0.6252
I 0.1697 0.2858 0.3748
N 0.0361 0.1023 0.8254
N 0.9639 0.8977 0.1746
O 0.3482 0.3702 0.9335
O 0.6518 0.6298 0.0665
```



Record 4
Computed, not measured: crystalline LaI2NO at its relaxed geometry at the PBE level of DFT. Values from VASP.

Values from the calculation:
uncorrected formation energy = 324 meV/atom
polymorph energy (0 for the lowest one) = 573 meV per atom

```
&SYSTEM
  ibrav = 0, nat = 5, ntyp = 4
/
ATOMIC_SPECIES
I 126.90 I.upf
N 14.01 N.upf
O 16.00 O.upf
La 138.91 La.upf
CELL_PARAMETERS angstrom
6.5760 0.0000 0.0000
0.0000 6.5760 0.0000
0.0000 0.0000 4.1782
ATOMIC_POSITIONS crystal
I 0.0000 0.5000 0.0000
I 0.5000 0.0000 0.0000
N 0.0000 0.0000 0.5000
O 0.5000 0.5000 0.5000
La 0.0000 0.0000 0.0000
```



Record 5
Computed, not measured: crystalline LaI2NO at its relaxed geometry at the PBE level of DFT. Values from VASP.

Values from the calculation:
uncorrected formation energy = -249 meV/atom
polymorph energy (0 for the lowest one) = 0 meV per atom

```
&SYSTEM
  ibrav = 0, nat = 5, ntyp = 4
/
ATOMIC_SPECIES
I 126.90 I.upf
N 14.01 N.upf
O 16.00 O.upf
La 138.91 La.upf
CELL_PARAMETERS angstrom
6.7255 0.0000 0.0000
0.0000 6.7255 0.0000
0.0000 0.0000 4.2517
ATOMIC_POSITIONS crystal
I 0.0000 0.5000 0.0000
I 0.5000 0.0000 0.0000
N 0.5000 0.5000 0.5000
O 0.0000 0.0000 0.5000
La 0.0000 0.0000 0.0000
```



Record 6
Computed, not measured: crystalline LaINO2 at its relaxed geometry at the PBE level of DFT. Values from VASP.

Values from the calculation:
uncorrected formation energy = -203 meV/atom

```
&SYSTEM
  ibrav = 0, nat = 5, ntyp = 4
/
ATOMIC_SPECIES
I 126.90 I.upf
N 14.01 N.upf
O 16.00 O.upf
La 138.91 La.upf
CELL_PARAMETERS angstrom
4.3140 0.0000 0.0000
0.0000 4.3140 0.0000
0.0000 0.0000 7.2424
ATOMIC_POSITIONS crystal
I 0.0000 0.0000 0.5000
N 0.5000 0.5000 0.5000
O 0.0000 0.5000 0.0000
O 0.5000 0.0000 0.0000
La 0.0000 0.0000 0.0000
```



Record 7
Computed, not measured: crystalline LaIN2O at its relaxed geometry at the PBE level of DFT. Values from VASP.

Values from the calculation:
uncorrected formation energy = -5 meV/atom

```
&SYSTEM
  ibrav = 0, nat = 5, ntyp = 4
/
ATOMIC_SPECIES
I 126.90 I.upf
N 14.01 N.upf
O 16.00 O.upf
La 138.91 La.upf
CELL_PARAMETERS angstrom
4.2181 0.0000 0.0000
0.0000 4.2181 0.0000
0.0000 0.0000 4.2138
ATOMIC_POSITIONS crystal
I 0.0000 0.0000 0.0000
N 0.0000 0.5000 0.0000
N 0.5000 0.0000 0.0000
O 0.0000 0.0000 0.5000
La 0.5000 0.5000 0.5000
```



Record 8
Computed, not measured: crystalline LaIN2O at its relaxed geometry at the PBE level of DFT. Values from VASP.

Values from the calculation:
uncorrected formation energy = 781 meV/atom

```
&SYSTEM
  ibrav = 0, nat = 5, ntyp = 4
/
ATOMIC_SPECIES
I 126.90 I.upf
N 14.01 N.upf
O 16.00 O.upf
La 138.91 La.upf
CELL_PARAMETERS angstrom
-0.5184 4.6790 -0.9649
-4.2924 -0.8822 -1.9721
-1.8557 0.5743 3.7822
ATOMIC_POSITIONS crystal
I 0.5000 0.5000 0.5000
N 0.0000 0.5000 0.0000
N 0.5000 0.0000 0.0000
O 0.0000 0.0000 0.5000
La 0.0000 0.0000 0.0000
```